# Nd9HoIn2 PBE optimized geometry
# - E: -4.59 eV per atom
# - Space-group type: No. 123
# - Formation enthalpy at 0 K: -0.174 eV per atom
data_Nd9HoIn2
_chemical_formula_sum 'Nd9 Ho1 In2'
_space_group_name_H-M_alt 'P 1'
_space_group_IT_number 1
_cell_length_a 5.011
_cell_length_b 5.011
_cell_length_c 15.341
_cell_angle_alpha 90.00
_cell_angle_beta 90.00
_cell_angle_gamma 90.00
loop_
_space_group_symop_operation_xyz
'x,y,z'
loop_
_atom_site_label
_atom_site_type_symbol
_atom_site_fract_x
_atom_site_fract_y
_atom_site_fract_z
Nd1 Nd 0.000 0.000 0.000
Nd2 Nd 0.000 0.000 0.337
Nd3 Nd 0.000 0.000 0.663
Nd4 Nd 0.000 0.500 0.173
Nd5 Nd 0.000 0.500 0.500
Nd6 Nd 0.000 0.500 0.827
Nd7 Nd 0.500 0.000 0.173
Nd8 Nd 0.500 0.000 0.500
Nd9 Nd 0.500 0.000 0.827
Ho1 Ho 0.500 0.500 0.000
In1 In 0.500 0.500 0.338
In2 In 0.500 0.500 0.662